(1)
A geometry-optimized Tl2TcAg structure, computed with PBE.

a = 3.0605 Å, b = 3.0605 Å, c = 9.3843 Å
α = 90.00°, β = 90.00°, γ = 90.00°
Fractional coordinates of all 4 atoms:
Ag 0.0000 0.0000 0.5371
Tc 0.5000 0.5000 0.7344
Tl 0.0000 0.0000 0.9556
Tl 0.5000 0.5000 0.2729

Properties
magnetic moment = 1.42 Bohr magnetons per cell
excess energy over the best structure of this formula in the dataset = 0.279 eV per formula unit


(2)
A geometry-optimized ScMoP2 structure, computed with PBE.

a = 4.9172 Å, b = 4.9172 Å, c = 4.9172 Å
α = 49.57°, β = 49.57°, γ = 49.57°
Fractional coordinates of all 4 atoms:
Mo 0.7500 0.7500 0.7500
P 0.0236 0.0236 0.0236
P 0.4764 0.4764 0.4764
Sc 0.2500 0.2500 0.2500

Properties
magnetic moment = 0.00 Bohr magnetons per cell
excess energy over the best structure of this formula in the dataset = 0.829 eV per formula unit